VASP calculation (GGA-PBE) on crystalline Pr3PS at its relaxed geometry.

The structure belongs to space group P-6 (No. 174); the cell edges are 6.8213, 6.8213 and 3.7243 Å and the angles 90.00°, 90.00° and 120.00°. Symmetry generates all atoms from Pr at (0.0080, 0.6719, 0.0000), P at (0.3333, 0.6667, 0.5000) and S at (0.0000, 0.0000, 0.5000).

Its uncorrected formation energy is -108.2 kJ per mole of atoms.

***

VASP calculation (GGA-PBE) on crystalline CuSiTe2 at its relaxed geometry.

The structure belongs to space group C2/m (No. 12); the cell edges are 7.5326, 7.5400 and 4.6055 Å and the angles 90.00°, 110.89° and 90.00°. Symmetry generates all atoms from Cu at (0.0000, 0.0000, 0.0000), Si at (0.0000, 0.5000, 0.0000) and Te at (0.2500, 0.2500, 0.0000).

Its uncorrected formation energy is 34.4 kJ per mole of atoms.